4
Lattice="-2.196 2.196 3.077 2.196 -2.196 3.077 2.196 2.196 -3.077" Properties=species:S:1:pos:R:3 comment="TcP2Se, relaxed, DFT PBE" magnetic_moment_mub_per_atom=0.000 raw_formation_energy_ev_per_fu=1.85 space_group="I-4m2 (119)" pbc="T T T"
Tc 0.000 0.000 0.000
P 2.196 0.000 1.539
P 0.000 0.000 3.077
Se 0.000 2.196 1.539



10
Lattice="8.100 0.000 0.000 0.000 4.099 0.000 -0.752 0.000 8.237" Properties=species:S:1:pos:R:3 comment="NdTmSe3, relaxed, DFT PBE" magnetic_moment_mub_per_atom=0.000 relative_energy_ev_per_atom=0.007 raw_formation_energy_ev_per_fu=-9.33 space_group="P2_1/m (11)" pbc="T T T"
Nd 0.786 1.025 2.244
Nd 6.562 3.075 5.993
Tm 2.236 3.075 6.819
Tm 5.112 1.025 1.419
Se 0.347 1.025 7.334
Se 1.122 3.075 4.340
Se 3.123 3.075 1.478
Se 4.225 1.025 6.759
Se 6.226 1.025 3.898
Se 7.001 3.075 0.903



30
Lattice="8.254 0.000 0.000 4.093 7.303 0.000 1.482 0.110 24.402" Properties=species:S:1:pos:R:3 comment="Rb2Sn4I9, relaxed, DFT PBE" magnetic_moment_mub_per_atom=0.069 raw_formation_energy_ev_per_fu=-9.99 space_group="P-1 (2)" pbc="T T T"
Rb 2.552 3.667 8.434
Rb 3.548 3.779 20.769
Rb 10.281 3.634 3.634
Rb 11.277 3.746 15.969
Sn 6.910 6.231 12.255
Sn 7.628 6.158 24.399
Sn 6.542 5.600 7.904
Sn 7.716 6.353 19.967
Sn 6.113 1.060 4.436
Sn 7.287 1.813 16.498
Sn 6.201 1.255 0.004
Sn 6.919 1.182 12.148
I 5.177 6.523 22.521
I 1.275 0.690 10.188
I 2.148 1.184 18.537
I 3.521 0.985 5.968
I 6.210 4.142 18.158
I 4.395 0.961 14.004
I 5.238 3.581 1.889
I 5.796 3.701 10.263
I 5.051 0.853 22.414
I 8.778 6.560 1.988
I 8.033 3.712 14.139
I 8.591 3.832 22.514
I 9.434 6.452 10.398
I 7.619 3.271 6.245
I 10.308 6.428 18.434
I 11.681 6.229 5.866
I 12.554 6.723 14.214
I 8.652 0.891 1.882



4
Lattice="2.580 0.000 0.000 0.000 4.318 0.000 -0.788 0.000 5.526" Properties=species:S:1:pos:R:3 comment="Li2ReW, relaxed, DFT PBE" magnetic_moment_mub_per_atom=0.000 formation_energy_ev_per_atom=0.30 relative_energy_ev_per_atom=0.065 space_group="Pm (6)" pbc="T T T"
Li 0.000 0.000 0.000
Li -0.266 2.159 4.332
Re 1.604 2.159 1.578
W 0.790 0.000 2.684



11
Lattice="4.518 -4.968 0.000 4.518 4.968 0.000 -2.454 0.000 4.835" Properties=species:S:1:pos:R:3 comment="Bi2Pd7Pb2, relaxed, DFT PBE" magnetic_moment_mub_per_atom=0.000 formation_energy_ev_per_atom=-0.22 relative_energy_ev_per_atom=0.000 space_group="C2/m (12)" pbc="T T T"
Bi 4.518 3.220 0.000
Bi 4.518 -3.220 0.000
Pd -1.227 0.000 2.418
Pd 2.190 2.543 1.529
Pd 2.325 0.000 0.234
Pd 4.392 2.543 3.306
Pd 2.190 -2.543 1.529
Pd 4.257 0.000 4.601
Pd 4.392 -2.543 3.306
Pb 1.741 0.000 3.022
Pb 4.841 0.000 1.813



16
Lattice="-3.920 3.920 6.596 3.920 -3.920 6.596 3.920 3.920 -6.596" Properties=species:S:1:pos:R:3 comment="Dy5AgPd2, relaxed, DFT PBE" magnetic_moment_mub_per_atom=0.000 formation_energy_ev_per_atom=-0.53 space_group="I4/mcm (140)" pbc="T T T"
Dy 0.000 0.000 0.000
Dy 5.178 1.258 -1.865
Dy 1.258 2.662 -1.865
Dy 5.178 1.258 1.865
Dy 1.258 2.662 1.865
Dy 0.000 0.000 6.596
Dy 2.662 1.258 4.731
Dy -1.258 2.662 4.731
Dy 2.662 1.258 8.461
Dy -1.258 2.662 8.461
Ag 0.000 0.000 3.298
Ag 0.000 0.000 9.894
Pd 2.877 1.044 0.000
Pd 2.877 -1.044 6.596
Pd 1.044 4.964 0.000
Pd 1.044 2.877 6.596



42
Lattice="6.005 0.000 0.000 -3.003 5.201 0.000 0.000 0.000 14.926" Properties=species:S:1:pos:R:3 comment="MgTi2O4, relaxed, DFT PBE" magnetic_moment_mub_per_atom=0.131 relative_energy_ev_per_atom=0.004 raw_formation_energy_ev_per_fu=-19.73 space_group="P3m1 (156)" pbc="T T T"
Mg 0.000 0.000 0.000
Mg 0.000 0.000 3.617
Mg 0.000 3.467 4.863
Mg 0.000 3.467 8.726
Mg 0.000 3.467 14.229
Mg 3.003 1.734 9.709
Ti 0.000 0.000 9.421
Ti 0.000 1.593 11.667
Ti -1.623 4.404 11.667
Ti 1.433 0.827 6.789
Ti 3.003 0.051 1.771
Ti 1.545 2.575 1.771
Ti 3.003 1.734 4.353
Ti 3.003 1.734 13.463
Ti 1.623 4.404 11.667
Ti 4.572 0.827 6.789
Ti 3.003 3.546 6.789
Ti 4.460 2.575 1.771
O 0.000 0.000 5.573
O 0.000 0.000 12.955
O -1.443 2.634 12.926
O 0.000 1.618 7.998
O -1.601 4.391 7.998
O 0.000 1.860 0.667
O -1.392 4.271 0.667
O 1.485 0.857 10.500
O 0.000 3.467 2.875
O 0.000 3.467 10.705
O 1.628 0.940 3.019
O 1.443 2.634 12.926
O 0.000 5.133 12.926
O 3.003 0.127 5.577
O 1.611 2.537 5.577
O 1.392 4.271 0.667
O 3.003 1.734 0.463
O 3.003 1.734 7.775
O 1.601 4.391 7.998
O 4.377 0.940 3.019
O 3.003 3.321 3.019
O 4.520 0.857 10.500
O 3.003 3.486 10.500
O 4.394 2.537 5.577



5
Lattice="5.668 0.000 0.000 0.000 5.668 0.000 0.000 0.000 4.498" Properties=species:S:1:pos:R:3 comment="BaTiVI2, relaxed, DFT PBE" magnetic_moment_mub_per_atom=0.000 raw_formation_energy_ev_per_fu=0.59 space_group="P4/mmm (123)" pbc="T T T"
Ba 0.000 0.000 0.000
Ti 2.834 2.834 0.000
V 2.834 2.834 2.249
I 0.000 2.834 2.249
I 2.834 0.000 2.249



5
Lattice="4.208 0.000 0.000 0.000 4.208 0.000 0.000 0.000 4.208" Properties=species:S:1:pos:R:3 comment="CaOs3O, relaxed, DFT PBE" magnetic_moment_mub_per_atom=0.000 relative_energy_ev_per_atom=0.000 raw_formation_energy_ev_per_fu=3.95 space_group="Pm-3m (221)" pbc="T T T"
Ca 0.000 0.000 0.000
Os 0.000 2.104 2.104
Os 2.104 0.000 2.104
Os 2.104 2.104 0.000
O 2.104 2.104 2.104



4
Lattice="3.582 0.000 0.000 0.000 3.520 0.000 -0.046 0.000 7.500" Properties=species:S:1:pos:R:3 comment="La2CuRu, relaxed, DFT PBE" magnetic_moment_mub_per_atom=0.000 formation_energy_ev_per_atom=-0.17 space_group="P2/m (10)" pbc="T T T"
La -0.002 0.000 1.980
La 3.538 0.000 5.520
Cu 1.791 1.760 0.000
Ru 1.768 1.760 3.750



12
Lattice="9.064 -2.059 0.000 9.064 2.059 0.000 -1.892 0.000 8.203" Properties=species:S:1:pos:R:3 comment="Pm6TlP3S2, relaxed, DFT PBE" magnetic_moment_mub_per_atom=0.000 raw_formation_energy_ev_per_fu=-18.16 space_group="C2/m (12)" pbc="T T T"
Pm -0.485 0.000 2.243
Pm 4.168 0.000 7.493
Pm 5.288 0.000 3.366
Pm 10.947 0.000 4.837
Pm 12.067 0.000 0.710
Pm 16.720 0.000 5.960
Tl 9.064 0.000 0.000
P 1.431 0.000 6.835
P 8.118 0.000 4.101
P 14.805 0.000 1.368
S 2.437 0.000 2.790
S 13.798 0.000 5.412



4
Lattice="-1.837 1.837 4.607 1.837 -1.837 4.607 1.837 1.837 -4.607" Properties=species:S:1:pos:R:3 comment="TcMo2Cl, relaxed, DFT PBE" magnetic_moment_mub_per_atom=0.065 relative_energy_ev_per_atom=0.709 raw_formation_energy_ev_per_fu=3.80 space_group="I-4m2 (119)" pbc="T T T"
Tc 0.000 0.000 0.000
Mo 0.000 0.000 4.607
Mo 0.000 1.837 2.303
Cl 1.837 0.000 2.303



Computed electronic total energy (eV per atom) in order:
-5.705, -5.805, -2.793, -7.010, -4.909, -5.059, -8.136, -4.289, -7.340, -5.981, -6.126, -7.518